Entry 1:
Compound: CsErCuCl5
Source: the Alexandria database
Functional: PBE-GGA
Structure: relaxed

```
data_CsErCuCl5
_chemical_formula_sum 'Cs2 Er2 Cu2 Cl10'
_symmetry_space_group_name_H-M 'P 1'
_symmetry_Int_Tables_number 1
_cell_length_a 7.5509
_cell_length_b 7.5509
_cell_length_c 10.0357
_cell_angle_alpha 103.74
_cell_angle_beta 103.74
_cell_angle_gamma 105.95
loop_
_symmetry_equiv_pos_as_xyz
'x,y,z'
loop_
_atom_site_label
_atom_site_type_symbol
_atom_site_fract_x
_atom_site_fract_y
_atom_site_fract_z
_atom_site_occupancy
Cs1 Cs 0.1558 0.8442 0.7500 1
Cs2 Cs 0.8442 0.1558 0.2500 1
Er1 Er 0.5000 0.5000 0.0000 1
Er2 Er 0.5000 0.5000 0.5000 1
Cu1 Cu 0.1925 0.8075 0.2500 1
Cu2 Cu 0.8075 0.1925 0.7500 1
Cl1 Cl 0.1296 0.2793 0.9141 1
Cl2 Cl 0.2070 0.6084 0.3968 1
Cl3 Cl 0.2793 0.1296 0.4141 1
Cl4 Cl 0.3916 0.7930 0.1032 1
Cl5 Cl 0.4362 0.5638 0.7500 1
Cl6 Cl 0.5638 0.4362 0.2500 1
Cl7 Cl 0.6084 0.2070 0.8968 1
Cl8 Cl 0.7207 0.8704 0.5859 1
Cl9 Cl 0.7930 0.3916 0.6032 1
Cl10 Cl 0.8704 0.7207 0.0859 1
```

Energy relative to the elements, uncorrected: -14.0 eV/f.u.
Size of the total moment: 0.15 μB per formula unit
Fermi-level density of states: 0.00 states/eV/atom
Space group: C2/c, No. 15


Entry 2:
Compound: CsCuClF2
Source: the Alexandria database
Functional: PBE-GGA
Structure: relaxed

```
data_CsCuClF2
_chemical_formula_sum 'Cs2 Cu2 Cl2 F4'
_symmetry_space_group_name_H-M 'P 1'
_symmetry_Int_Tables_number 1
_cell_length_a 7.3830
_cell_length_b 7.3830
_cell_length_c 7.6642
_cell_angle_alpha 90.00
_cell_angle_beta 90.00
_cell_angle_gamma 149.54
loop_
_symmetry_equiv_pos_as_xyz
'x,y,z'
loop_
_atom_site_label
_atom_site_type_symbol
_atom_site_fract_x
_atom_site_fract_y
_atom_site_fract_z
_atom_site_occupancy
Cs1 Cs 0.2300 0.7700 0.7500 1
Cs2 Cs 0.7700 0.2300 0.2500 1
Cu1 Cu 0.5000 0.5000 0.0000 1
Cu2 Cu 0.5000 0.5000 0.5000 1
Cl1 Cl 0.0187 0.9813 0.2500 1
Cl2 Cl 0.9813 0.0187 0.7500 1
F1 F 0.3716 0.6284 0.0281 1
F2 F 0.3716 0.6284 0.4719 1
F3 F 0.6284 0.3716 0.5281 1
F4 F 0.6284 0.3716 0.9719 1
```

Energy relative to the elements, uncorrected: -8.4 eV/f.u.
Size of the total moment: 1.00 μB per formula unit
Fermi-level density of states: 0.38 states/eV/atom
Space group: Cmcm, No. 63


Entry 3:
Compound: Cs2CuCl3F
Source: the Alexandria database
Functional: PBE-GGA
Structure: relaxed

```
data_Cs2CuCl3F
_chemical_formula_sum 'Cs2 Cu1 Cl3 F1'
_symmetry_space_group_name_H-M 'P 1'
_symmetry_Int_Tables_number 1
_cell_length_a 8.6529
_cell_length_b 8.6529
_cell_length_c 8.6529
_cell_angle_alpha 148.81
_cell_angle_beta 141.60
_cell_angle_gamma 50.27
loop_
_symmetry_equiv_pos_as_xyz
'x,y,z'
loop_
_atom_site_label
_atom_site_type_symbol
_atom_site_fract_x
_atom_site_fract_y
_atom_site_fract_z
_atom_site_occupancy
Cs1 Cs 0.1267 0.1267 0.0000 1
Cs2 Cs 0.8733 0.8733 0.0000 1
Cu1 Cu 0.5000 0.5000 0.0000 1
Cl1 Cl 0.3565 0.3565 0.0000 1
Cl2 Cl 0.5000 0.0000 0.5000 1
Cl3 Cl 0.6435 0.6435 0.0000 1
F1 F 0.0000 0.5000 0.5000 1
```

Energy relative to the elements, uncorrected: -10.8 eV/f.u.
Size of the total moment: 0.00 μB per formula unit
Fermi-level density of states: 0.18 states/eV/atom
Space group: Immm, No. 71


Question: Which of these has the lowest size of the total moment?
Answer: Cs2CuCl3F